DFT (PBE with a Hubbard U) results for CoPAuO2 after structural relaxation.

Lattice parameters (Å, degrees): 3.929 3.929 5.194 90.00 90.00 90.00
Each line ends with the local moment (μB).
Element x y z (fractional)
O 0.500 0.000 0.000  0.24
O 0.000 0.500 0.000  0.24
P 0.000 0.000 0.500  0.05
Co 0.500 0.500 0.500  2.51
Au 0.000 0.000 0.000  0.11

## Properties
Symmetry: No. 123
Distance to the lowest polymorph of the same formula in eV per formula unit: 3.71
ρ in g/cm³: 6.60